Here is ErHgSO after structural relaxation from OQMD via LeMat-Bulk. Energies are from PBE-GGA.

**Total DFT energy (no corrections)**: -4.88 eV/atom
**Distance to the lowest polymorph of the same formula**: 476 meV per atom
**Symmetry**: No. 29
**Magnetic moment**: 0.00 μB per formula unit

Geometry as extended XYZ:
```
16
Lattice="-2.800 7.233 1.532 0.744 -1.504 8.458 4.923 1.925 -0.091" Properties=species:S:1:pos:R:3 pbc="T T T"
Er -2.021 6.386 4.221
Er -0.370 2.260 6.317
Er 1.465 4.700 3.615
Er 3.116 0.575 5.711
Hg 2.058 1.949 1.165
Hg 1.233 4.403 8.466
Hg 4.026 4.185 1.390
Hg 3.201 6.640 8.690
O -2.087 7.122 2.359
O -0.097 2.313 8.302
O 1.637 4.821 1.623
O 3.627 0.012 7.565
S -1.037 3.892 4.204
S 0.528 -0.058 5.313
S 0.584 7.025 4.619
S 2.149 3.075 5.728
```

---

Here is Sc4FeGeN2 after structural relaxation from OQMD via LeMat-Bulk. Energies are from PBE-GGA.

**Total DFT energy (no corrections)**: -7.87 eV/atom
**Symmetry**: No. 187
**Magnetic moment**: 0.23 μB per formula unit

Geometry as extended XYZ:
```
8
Lattice="3.186 0.000 0.000 -1.593 2.759 0.000 0.000 0.000 13.496" Properties=species:S:1:pos:R:3 pbc="T T T"
Fe 0.000 0.000 0.000
Ge 1.593 0.920 6.748
N 0.000 1.839 3.346
N 0.000 1.839 10.150
Sc 1.593 0.920 1.979
Sc 0.000 0.000 4.501
Sc 0.000 0.000 8.995
Sc 1.593 0.920 11.517
```